Record 1
This record from Alexandria describes a geometry-optimized CePm2Er8 structure. The functional is GGA-PBE.

Results
symmetry = C2/m, No. 12
formation enthalpy at 0 K = 0.041 eV per atom
DOS at the Fermi energy = 1.63 states/eV/atom
electronic total energy = -4.6803 eV per atom

Cell lengths 5.006, 7.902, 9.355 Å; angles 104.66, 105.52, 90.00 degrees
Element x y z (fractional)
1 Ce 0.500 0.000 0.000
2 Pm 0.228 0.637 0.457
3 Pm 0.772 0.363 0.543
4 Er 0.589 0.453 0.179
5 Er 0.320 0.093 0.640
6 Er 0.135 0.178 0.270
7 Er 0.044 0.730 0.089
8 Er 0.865 0.822 0.730
9 Er 0.680 0.907 0.360
10 Er 0.411 0.547 0.821
11 Er 0.956 0.270 0.911

=====

Record 2
This record from Alexandria describes a geometry-optimized SrCaSc structure. The functional is GGA-PBE.

Results
symmetry = I4mm, No. 107
formation enthalpy at 0 K = 0.245 eV per atom
DOS at the Fermi energy = 1.67 states/eV/atom
electronic total energy = -3.0935 eV per atom

Cell lengths 7.600, 7.600, 7.600 Å; angles 149.42, 149.43, 43.79 degrees
Element x y z (fractional)
1 Sc 0.659 0.659 0.000
2 Sr 0.321 0.321 0.000
3 Ca 0.020 0.020 0.000

=====

Record 3
This record from Alexandria describes a geometry-optimized CaDy2Au structure. The functional is GGA-PBE.

Results
symmetry = R-3m, No. 166
formation enthalpy at 0 K = -0.261 eV per atom
DOS at the Fermi energy = 1.30 states/eV/atom
electronic total energy = -3.8815 eV per atom

Cell lengths 3.865, 3.865, 10.288 Å; angles 79.17, 79.17, 60.00 degrees
Element x y z (fractional)
1 Ca 0.500 0.500 0.500
2 Au 0.000 0.000 0.000
3 Dy 0.270 0.270 0.189
4 Dy 0.730 0.730 0.811

=====

Record 4
This record from Alexandria describes a geometry-optimized LuP3O9 structure. The functional is GGA-PBE.

Results
symmetry = I-43d, No. 220
DOS at the Fermi energy = 0.00 states/eV/atom
electronic total energy = -7.5861 eV per atom
formation energy (no corrections) = -2.5573 eV per atom

Cell lengths 12.874, 12.874, 12.874 Å; angles 109.47, 109.47, 109.47 degrees
Element x y z (fractional)
1 Lu 0.793 0.793 0.793
2 Lu 0.000 0.707 0.500
3 Lu 0.500 0.000 0.707
4 Lu 0.707 0.500 0.000
5 Lu 0.293 0.293 0.293
6 Lu 0.000 0.207 0.500
7 Lu 0.207 0.500 0.000
8 Lu 0.500 0.000 0.207
9 P 0.828 0.539 0.620
10 P 0.082 0.961 0.790
11 P 0.418 0.208 0.880
12 P 0.672 0.292 0.710
13 P 0.120 0.039 0.328
14 P 0.290 0.461 0.582
15 P 0.380 0.708 0.918
16 P 0.210 0.792 0.172
17 P 0.539 0.620 0.828
18 P 0.961 0.790 0.082
19 P 0.208 0.880 0.418
20 P 0.292 0.710 0.672
21 P 0.039 0.328 0.120
22 P 0.461 0.582 0.290
23 P 0.708 0.918 0.380
24 P 0.792 0.172 0.210
25 P 0.620 0.828 0.539
26 P 0.790 0.082 0.961
27 P 0.880 0.418 0.208
28 P 0.710 0.672 0.292
29 P 0.328 0.120 0.039
30 P 0.582 0.290 0.461
31 P 0.918 0.380 0.708
32 P 0.172 0.210 0.792
33 O 0.905 0.501 0.716
34 O 0.214 0.999 0.904
35 O 0.286 0.189 0.784
36 O 0.595 0.311 0.596
37 O 0.216 0.001 0.405
38 O 0.404 0.499 0.714
39 O 0.284 0.689 0.786
40 O 0.096 0.811 0.095
41 O 0.501 0.716 0.905
42 O 0.999 0.904 0.214
43 O 0.189 0.784 0.286
44 O 0.311 0.596 0.595
45 O 0.001 0.405 0.216
46 O 0.499 0.714 0.404
47 O 0.689 0.786 0.284
48 O 0.811 0.095 0.096
49 O 0.716 0.905 0.501
50 O 0.904 0.214 0.999
51 O 0.784 0.286 0.189
52 O 0.596 0.595 0.311
53 O 0.405 0.216 0.001
54 O 0.714 0.404 0.499
55 O 0.786 0.284 0.689
56 O 0.095 0.096 0.811
57 O 0.899 0.810 0.975
58 O 0.165 0.690 0.589
59 O 0.335 0.924 0.525
60 O 0.601 0.576 0.911
61 O 0.475 0.310 0.399
62 O 0.089 0.190 0.665
63 O 0.025 0.424 0.835
64 O 0.411 0.076 0.101
65 O 0.810 0.975 0.899
66 O 0.690 0.589 0.165
67 O 0.924 0.525 0.335
68 O 0.576 0.911 0.601
69 O 0.310 0.399 0.475
70 O 0.190 0.665 0.089
71 O 0.424 0.835 0.025
72 O 0.076 0.101 0.411
73 O 0.975 0.899 0.810
74 O 0.589 0.165 0.690
75 O 0.525 0.335 0.924
76 O 0.911 0.601 0.576
77 O 0.399 0.475 0.310
78 O 0.665 0.089 0.190
79 O 0.835 0.025 0.424
80 O 0.101 0.411 0.076
81 O 0.780 0.611 0.688
82 O 0.077 0.889 0.668
83 O 0.423 0.092 0.812
84 O 0.720 0.408 0.832
85 O 0.188 0.111 0.280
86 O 0.168 0.389 0.577
87 O 0.312 0.592 0.923
88 O 0.332 0.908 0.220
89 O 0.611 0.688 0.780
90 O 0.889 0.668 0.077
91 O 0.092 0.812 0.423
92 O 0.408 0.832 0.720
93 O 0.111 0.280 0.188
94 O 0.389 0.577 0.168
95 O 0.592 0.923 0.312
96 O 0.908 0.220 0.332
97 O 0.688 0.780 0.611
98 O 0.668 0.077 0.889
99 O 0.812 0.423 0.092
100 O 0.832 0.720 0.408
101 O 0.280 0.188 0.111
102 O 0.577 0.168 0.389
103 O 0.923 0.312 0.592
104 O 0.220 0.332 0.908

=====

Record 5
This record from Alexandria describes a geometry-optimized LiCaMn2 structure. The functional is GGA-PBE.

Results
symmetry = Imm2, No. 44
formation enthalpy at 0 K = 0.539 eV per atom
DOS at the Fermi energy = 0.78 states/eV/atom
electronic total energy = -5.0244 eV per atom

Cell lengths 5.735, 5.735, 5.735 Å; angles 146.28, 128.20, 63.24 degrees
Element x y z (fractional)
1 Ca 0.499 0.499 0.000
2 Li 0.226 0.726 0.500
3 Mn 0.997 0.997 0.000
4 Mn 0.778 0.278 0.500

=====

Record 6
This record from Alexandria describes a geometry-optimized LiNdYRh structure. The functional is GGA-PBE.

Results
symmetry = F-43m, No. 216
formation enthalpy at 0 K = -0.405 eV per atom
DOS at the Fermi energy = 0.73 states/eV/atom
electronic total energy = -5.5292 eV per atom

Cell lengths 5.028, 5.028, 5.028 Å; angles 60.00, 60.00, 60.00 degrees
Element x y z (fractional)
1 Y 0.500 0.500 0.500
2 Rh 0.750 0.750 0.750
3 Nd 0.000 0.000 0.000
4 Li 0.250 0.250 0.250

=====

Record 7
This record from Alexandria describes a geometry-optimized TaReSb2 structure. The functional is GGA-PBE.

Results
symmetry = C2/m, No. 12
DOS at the Fermi energy = 0.85 states/eV/atom
electronic total energy = -7.6462 eV per atom
formation energy (no corrections) = 0.4902 eV per atom

Cell lengths 4.749, 4.749, 5.549 Å; angles 78.28, 78.28, 39.05 degrees
Element x y z (fractional)
1 Re 0.750 0.750 0.750
2 Sb 0.006 0.006 0.991
3 Sb 0.494 0.494 0.509
4 Ta 0.250 0.250 0.250

=====

Record 8
This record from Alexandria describes a geometry-optimized Tb4AgHgRu2 structure. The functional is GGA-PBE.

Results
symmetry = R-3m, No. 166
formation enthalpy at 0 K = -0.337 eV per atom
DOS at the Fermi energy = 0.80 states/eV/atom
electronic total energy = -5.3657 eV per atom

Cell lengths 5.015, 5.015, 8.688 Å; angles 73.22, 73.22, 60.00 degrees
Element x y z (fractional)
1 Tb 0.377 0.377 0.870
2 Tb 0.874 0.874 0.379
3 Tb 0.126 0.126 0.621
4 Tb 0.623 0.623 0.130
5 Ag 0.500 0.500 0.500
6 Hg 0.000 0.000 0.000
7 Ru 0.750 0.750 0.749
8 Ru 0.250 0.250 0.251

=====

Record 9
This record from Alexandria describes a geometry-optimized ErLuGaRh structure. The functional is GGA-PBE.

Results
symmetry = F-43m, No. 216
formation enthalpy at 0 K = -0.734 eV per atom
DOS at the Fermi energy = 0.38 states/eV/atom
electronic total energy = -5.5991 eV per atom

Cell lengths 4.887, 4.887, 4.887 Å; angles 60.00, 60.00, 60.00 degrees
Element x y z (fractional)
1 Lu 0.500 0.500 0.500
2 Rh 0.750 0.750 0.750
3 Ga 0.250 0.250 0.250
4 Er 0.000 0.000 0.000

=====

Record 10
This record from Alexandria describes a geometry-optimized ZnCd4Pd5 structure. The functional is GGA-PBE.

Results
symmetry = P4/mmm, No. 123
formation enthalpy at 0 K = -0.426 eV per atom
DOS at the Fermi energy = 0.54 states/eV/atom
electronic total energy = -3.5161 eV per atom

Cell lengths 3.031, 3.031, 18.348 Å; angles 90.00, 90.00, 90.00 degrees
Element x y z (fractional)
1 Zn 0.000 0.000 0.000
2 Cd 0.000 0.000 0.191
3 Cd 0.000 0.000 0.397
4 Cd 0.000 0.000 0.603
5 Cd 0.000 0.000 0.809
6 Pd 0.500 0.500 0.085
7 Pd 0.500 0.500 0.294
8 Pd 0.500 0.500 0.500
9 Pd 0.500 0.500 0.706
10 Pd 0.500 0.500 0.915

=====

Record 11
This record from Alexandria describes a geometry-optimized AcDyScIn structure. The functional is GGA-PBE.

Results
symmetry = F-43m, No. 216
formation enthalpy at 0 K = -0.011 eV per atom
DOS at the Fermi energy = 1.76 states/eV/atom
electronic total energy = -4.4564 eV per atom

Cell lengths 5.493, 5.493, 5.493 Å; angles 60.00, 60.00, 60.00 degrees
Element x y z (fractional)
1 Sc 0.000 0.000 0.000
2 Ac 0.250 0.250 0.250
3 In 0.750 0.750 0.750
4 Dy 0.500 0.500 0.500

=====

Record 12
This record from Alexandria describes a geometry-optimized SiGeRu2 structure. The functional is GGA-PBE.

Results
symmetry = R3m, No. 160
DOS at the Fermi energy = 0.83 states/eV/atom
electronic total energy = -7.3903 eV per atom
formation energy (no corrections) = -0.2423 eV per atom

Cell lengths 3.786, 3.786, 5.354 Å; angles 69.30, 69.30, 60.00 degrees
Element x y z (fractional)
1 Si 0.670 0.670 0.989
2 Ge 0.497 0.497 0.510
3 Ru 0.071 0.071 0.786
4 Ru 0.262 0.262 0.215

=====

Record 13
This record from Alexandria describes a geometry-optimized CuNi2Hg structure. The functional is GGA-PBE.

Results
symmetry = C2/m, No. 12
formation enthalpy at 0 K = 0.226 eV per atom
DOS at the Fermi energy = 0.92 states/eV/atom
electronic total energy = -3.7637 eV per atom

Cell lengths 4.528, 4.528, 4.624 Å; angles 78.55, 78.55, 36.36 degrees
Element x y z (fractional)
1 Cu 0.750 0.750 0.750
2 Hg 0.250 0.250 0.250
3 Ni 0.006 0.006 0.972
4 Ni 0.494 0.494 0.528

=====

Record 14
This record from Alexandria describes a geometry-optimized Tb2SmY7 structure. The functional is GGA-PBE.

Results
symmetry = Cmmm, No. 65
formation enthalpy at 0 K = 0.214 eV per atom
DOS at the Fermi energy = 2.03 states/eV/atom
electronic total energy = -5.7086 eV per atom

Cell lengths 3.459, 15.100, 15.100 Å; angles 155.21, 90.00, 90.00 degrees
Element x y z (fractional)
1 Tb 0.500 0.793 0.207
2 Tb 0.500 0.207 0.793
3 Sm 0.000 0.000 0.000
4 Y 0.000 0.690 0.310
5 Y 0.000 0.310 0.690
6 Y 0.500 0.145 0.345
7 Y 0.500 0.855 0.655
8 Y 0.500 0.345 0.145
9 Y 0.500 0.655 0.855
10 Y 0.500 0.500 0.500

=====

Record 15
This record from Alexandria describes a geometry-optimized Ba2U3O9 structure. The functional is GGA-PBE.

Results
symmetry = C2/c, No. 15
DOS at the Fermi energy = 0.31 states/eV/atom
electronic total energy = -9.0164 eV per atom
formation energy (no corrections) = -3.1354 eV per atom

Cell lengths 7.876, 7.876, 10.373 Å; angles 109.10, 122.91, 81.58 degrees
Element x y z (fractional)
1 Ba 0.436 0.293 0.749
2 Ba 0.564 0.707 0.251
3 Ba 0.044 0.687 0.751
4 Ba 0.956 0.313 0.249
5 U 0.500 0.000 0.000
6 U 0.500 0.500 0.500
7 U 0.834 0.168 0.507
8 U 0.166 0.832 0.493
9 U 0.161 0.327 0.993
10 U 0.839 0.673 0.007
11 O 0.375 0.966 0.743
12 O 0.625 0.034 0.257
13 O 0.723 0.632 0.757
14 O 0.277 0.368 0.243
15 O 0.521 0.706 0.962
16 O 0.479 0.294 0.038
17 O 0.244 0.560 0.538
18 O 0.756 0.440 0.462
19 O 0.070 0.320 0.750
20 O 0.930 0.680 0.250
21 O 0.198 0.035 0.948
22 O 0.802 0.965 0.052
23 O 0.586 0.250 0.552
24 O 0.414 0.750 0.448
25 O 0.916 0.892 0.535
26 O 0.084 0.108 0.465
27 O 0.857 0.380 0.965
28 O 0.143 0.620 0.035

=====

Record 16
This record from Alexandria describes a geometry-optimized KLiH2Pd structure. The functional is GGA-PBE.

Results
symmetry = P4/mmm, No. 123
DOS at the Fermi energy = 0.18 states/eV/atom
electronic total energy = -2.9039 eV per atom

Cell lengths 4.003, 4.003, 4.558 Å; angles 90.00, 90.00, 90.00 degrees
Element x y z (fractional)
1 H 0.000 0.500 0.000
2 H 0.500 0.000 0.000
3 K 0.500 0.500 0.500
4 Pd 0.000 0.000 0.000
5 Li 0.000 0.000 0.500

=====

Record 17
This record from Alexandria describes a geometry-optimized CrSn3S structure. The functional is GGA-PBE.

Results
symmetry = Pm-3m, No. 221
DOS at the Fermi energy = 0.76 states/eV/atom
electronic total energy = -4.5073 eV per atom
formation energy (no corrections) = 0.6446 eV per atom

Cell lengths 5.282, 5.282, 5.282 Å; angles 90.00, 90.00, 90.00 degrees
Element x y z (fractional)
1 Cr 0.500 0.500 0.500
2 S 0.000 0.000 0.000
3 Sn 0.000 0.500 0.000
4 Sn 0.000 0.000 0.500
5 Sn 0.500 0.000 0.000

=====

Record 18
This record from Alexandria describes a geometry-optimized CsSbTe2W structure. The functional is GGA-PBE.

Results
symmetry = P4/mmm, No. 123
DOS at the Fermi energy = 0.72 states/eV/atom
electronic total energy = -4.7049 eV per atom
formation energy (no corrections) = 0.1375 eV per atom

Cell lengths 5.543, 5.543, 5.338 Å; angles 90.00, 90.00, 90.00 degrees
Element x y z (fractional)
1 Cs 0.500 0.500 0.500
2 Sb 0.000 0.000 0.500
3 Te 0.000 0.500 0.000
4 Te 0.500 0.000 0.000
5 W 0.000 0.000 0.000

=====

Record 19
This record from Alexandria describes a geometry-optimized Sc8Pd2Rh structure. The functional is GGA-PBE.

Results
symmetry = C2/m, No. 12
formation enthalpy at 0 K = -0.537 eV per atom
DOS at the Fermi energy = 1.14 states/eV/atom
electronic total energy = -6.7545 eV per atom

Cell lengths 4.769, 6.392, 8.308 Å; angles 108.23, 106.68, 90.00 degrees
Element x y z (fractional)
1 Sc 0.404 0.556 0.809
2 Sc 0.665 0.964 0.331
3 Sc 0.804 0.704 0.608
4 Sc 0.971 0.211 0.943
5 Sc 0.196 0.296 0.392
6 Sc 0.335 0.036 0.669
7 Sc 0.596 0.444 0.191
8 Sc 0.029 0.789 0.057
9 Pd 0.817 0.303 0.635
10 Pd 0.183 0.697 0.365
11 Rh 0.500 0.000 0.000

=====

Record 20
This record from Alexandria describes a geometry-optimized Mg2CdHgSe4 structure. The functional is GGA-PBE.

Results
symmetry = Fmm2, No. 42
electronic total energy = -3.1230 eV per atom
formation energy (no corrections) = -0.8300 eV per atom

Cell lengths 6.129, 6.129, 7.461 Å; angles 114.26, 114.26, 90.00 degrees
Element x y z (fractional)
1 Mg 0.750 0.250 0.500
2 Mg 0.250 0.750 0.500
3 Cd 0.500 0.500 0.001
4 Hg 0.000 0.000 0.999
5 Se 0.616 0.616 0.736
6 Se 0.384 0.880 0.264
7 Se 0.880 0.384 0.264
8 Se 0.121 0.121 0.736